# 1
Computed, not measured: an optimized crystal structure of K5Rb5Li at the PBE level of DFT.

Cell: 7.7329 12.8571 10.0897 Å, 113.12 90.00 107.50°
Atoms (fractional coordinates):
K 0.8551 0.7102 0.6420
K 0.1449 0.2898 0.3580
K 0.8548 0.7095 0.0675
K 0.1452 0.2905 0.9325
K 0.5000 0.0000 0.0000
Rb 0.3592 0.7184 0.3586
Rb 0.7023 0.4047 0.2030
Rb 0.2977 0.5953 0.7970
Rb 0.6408 0.2816 0.6414
Rb 0.0000 0.0000 0.5000
Li 0.0000 0.0000 0.0000

Computed properties:
Symmetry: C2/m, No. 12
Formation enthalpy at 0 K (eV/atom): 0.08



# 2
Computed, not measured: an optimized crystal structure of TmSiAu2 at the PBE level of DFT.

Cell: 3.8354 4.9414 4.9414 Å, 113.49 100.72 100.72°
Atoms (fractional coordinates):
Si 0.6186 0.3584 0.3584
Au 0.0202 0.3633 0.0009
Au 0.0202 0.0009 0.3633
Tm 0.3412 0.7774 0.7774

Computed properties:
Symmetry: Cm, No. 8
Formation energy from raw total energies (kJ/mol of atoms): -40.9



# 3
Computed, not measured: an optimized crystal structure of Sm5Al4Zn at the PBE level of DFT.

Cell: 3.6648 3.6648 18.4750 Å, 90.00 90.00 90.00°
Atoms (fractional coordinates):
Al 0.0000 0.0000 0.8022
Al 0.0000 0.0000 0.6001
Al 0.0000 0.0000 0.3999
Al 0.0000 0.0000 0.1978
Zn 0.0000 0.0000 0.0000
Sm 0.5000 0.5000 0.9025
Sm 0.5000 0.5000 0.5000
Sm 0.5000 0.5000 0.0975
Sm 0.5000 0.5000 0.2994
Sm 0.5000 0.5000 0.7006

Computed properties:
Symmetry: P4/mmm, No. 123
Formation enthalpy at 0 K (eV/atom): -0.36



# 4
Computed, not measured: an optimized crystal structure of TlFe2Ir at the PBE level of DFT.

Cell: 3.8280 2.8427 6.4315 Å, 63.91 90.00 90.00°
Last column: magnetic moment on the atom in μB.
Atoms (fractional coordinates):
Fe 0.0000 0.9576 0.0424  2.74
Fe 0.0000 0.5424 0.4576  2.74
Tl 0.5000 0.7500 0.7500  -0.06
Ir 0.5000 0.2500 0.2500  0.43

Computed properties:
Symmetry: P2/m, No. 10
Distance to the lowest polymorph of the same formula (kJ/mol of formula units): 6.8
Formation enthalpy at 0 K (eV/atom): 0.35